(1)
Entry from Alexandria: a geometry-optimized CaPu5P6 structure (PBE-GGA).

Unit cell a=6.9530 b=6.9530 c=6.9258 alpha=99.61 beta=99.61 gamma=119.97
Last column: nearest neighbours and their distance in Å.
Fractional coordinates of all 12 atoms:
Ca 0.0000 0.0000 0.0000  6 P 2.91
Pu 0.1639 0.8361 0.5000  6 P 2.78-2.85
Pu 0.3328 0.6672 0.0000  6 P 2.82-2.83
Pu 0.5000 0.5000 0.5000  6 P 2.76-2.85
Pu 0.6672 0.3328 0.0000  6 P 2.82-2.83
Pu 0.8361 0.1639 0.5000  6 P 2.78-2.85
P 0.0854 0.4292 0.2548  5 Pu 2.78-2.85, 1 Ca 2.91
P 0.2588 0.2588 0.7448  5 Pu 2.76-2.83, 1 Ca 2.91
P 0.4292 0.0854 0.2548  5 Pu 2.78-2.85, 1 Ca 2.91
P 0.5708 0.9146 0.7452  5 Pu 2.78-2.85, 1 Ca 2.91
P 0.7412 0.7412 0.2552  5 Pu 2.76-2.83, 1 Ca 2.91
P 0.9146 0.5708 0.7452  5 Pu 2.78-2.85, 1 Ca 2.91

Output
**Space group**: C2/m
**Energy of formation**: -1.093 eV per atom
**Fermi-level density of states**: 46.77 states/eV/cell

---

(2)
Entry from Alexandria: a geometry-optimized HgMoIr structure (PBE-GGA).

Unit cell a=4.5639 b=4.5639 c=2.7951 alpha=90.00 beta=90.00 gamma=120.00
Last column: nearest neighbours and their distance in Å.
Fractional coordinates of all 3 atoms:
Hg 0.0000 0.0000 0.0000  3 Ir 2.63, 2 Hg 2.80
Mo 0.3333 0.6667 0.5000  2 Mo 2.80, 6 Hg 2.98, 6 Ir 2.98
Ir 0.6667 0.3333 0.0000  3 Hg 2.63, 2 Ir 2.80

Output
**Space group**: P-6m2
**Energy of formation**: 0.449 eV per atom
**ΔE to the lowest computed polymorph**: 302.4 meV/atom
**Fermi-level density of states**: 1.85 states/eV/cell

---

(3)
Entry from Alexandria: a geometry-optimized HoTmCdGa structure (PBE-GGA).

Unit cell a=3.5972 b=3.5972 c=7.3573 alpha=90.00 beta=90.00 gamma=90.00
Last column: nearest neighbours and their distance in Å.
Fractional coordinates of all 4 atoms:
Ho 0.0000 0.0000 0.0000  4 Ga 3.09, 4 Cd 3.23, 1 Tm 3.45
Tm 0.0000 0.0000 0.5307  4 Ga 3.06, 4 Cd 3.19
Cd 0.5000 0.5000 0.2696  4 Tm 3.19, 4 Ho 3.23
Ga 0.5000 0.5000 0.7619  4 Tm 3.06, 4 Ho 3.09

Output
**Space group**: P4mm
**Energy of formation**: -0.453 eV per atom
**ΔE to the lowest computed polymorph**: 0.0 meV/atom
**Fermi-level density of states**: 2.28 states/eV/cell

---

(4)
Entry from Alexandria: a geometry-optimized ThHg2Bi structure (PBE-GGA).

Unit cell a=4.6720 b=4.6720 c=5.0112 alpha=90.00 beta=90.00 gamma=90.00
Last column: nearest neighbours and their distance in Å.
Fractional coordinates of all 4 atoms:
Th 0.0000 0.0000 0.0000  4 Bi 3.30, 8 Hg 3.43
Hg 0.0000 0.5000 0.5000  4 Hg 3.30, 4 Th 3.43, 4 Bi 3.43
Hg 0.5000 0.0000 0.5000  4 Hg 3.30, 4 Th 3.43, 4 Bi 3.43
Bi 0.5000 0.5000 0.0000  4 Th 3.30, 8 Hg 3.43

Output
**Space group**: P4/mmm
**Energy of formation**: -0.325 eV per atom
**ΔE to the lowest computed polymorph**: 0.0 meV/atom
**Fermi-level density of states**: 2.71 states/eV/cell

---

(5)
Entry from Alexandria: a geometry-optimized BeInSb2 structure (PBE-GGA).

Unit cell a=3.1389 b=3.1389 c=9.4005 alpha=90.00 beta=90.00 gamma=90.00
Last column: nearest neighbours and their distance in Å.
Fractional coordinates of all 4 atoms:
Be 0.0000 0.0000 0.0000  4 Sb 2.83, 4 In 2.85, 4 Be 3.14
In 0.5000 0.5000 0.1894  4 Be 2.85, 4 In 3.14
Sb 0.0000 0.0000 0.4801  4 Sb 3.14
Sb 0.5000 0.5000 0.8126  4 Be 2.83, 4 Sb 3.14

Output
**Raw formation energy**: 0.406 eV per atom
**Space group**: P4mm
**ΔE to the lowest computed polymorph**: 312.7 meV/atom
**Fermi-level density of states**: 2.55 states/eV/cell

---

(6)
Entry from Alexandria: a geometry-optimized Ce3AsRu structure (PBE-GGA).

Unit cell a=3.8496 b=8.2350 c=8.6914 alpha=75.32 beta=89.98 gamma=89.94
Last column: nearest neighbours and their distance in Å.
Fractional coordinates of all 10 atoms:
Ce 0.2491 0.1639 0.0876  3 Ru 2.79-2.91, 2 As 3.01, 1 Ce 3.01
Ce 0.2490 0.1804 0.6086  2 Ru 2.74, 3 As 2.97-3.05
Ce 0.2491 0.4873 0.1901  1 Ru 2.64
Ce 0.7509 0.5127 0.8099  1 Ru 2.64
Ce 0.7510 0.8196 0.3914  2 Ru 2.74, 3 As 2.97-3.05
Ce 0.7509 0.8361 0.9124  3 Ru 2.79-2.91, 2 As 3.01, 1 Ce 3.01
As 0.2508 0.8008 0.6561  7 Ce 2.97-3.09
As 0.7492 0.1992 0.3439  7 Ce 2.97-3.09
Ru 0.2514 0.8134 0.1679  6 Ce 2.64-2.91
Ru 0.7486 0.1866 0.8321  6 Ce 2.64-2.91

Output
**Space group**: P-1
**Energy of formation**: -0.555 eV per atom
**Fermi-level density of states**: 24.21 states/eV/cell

---

(7)
Entry from Alexandria: a geometry-optimized Sb2AsRh structure (PBE-GGA).

Unit cell a=7.3221 b=7.3221 c=7.3221 alpha=129.62 beta=129.62 gamma=74.01
Last column: nearest neighbours and their distance in Å.
Fractional coordinates of all 8 atoms:
Sb 0.0948 0.6250 0.9698  2 Rh 2.54, 2 As 2.76
Sb 0.3750 0.3448 0.4698  2 Rh 2.54, 2 As 2.76
Sb 0.6552 0.1250 0.0302  2 Rh 2.54, 2 As 2.76
Sb 0.8750 0.9052 0.5302  2 Rh 2.54, 2 As 2.76
As 0.2500 0.7500 0.5000  4 Sb 2.76
As 0.5000 0.5000 0.0000  4 Sb 2.76
Rh 0.0000 0.0000 0.0000  4 Sb 2.54
Rh 0.7500 0.2500 0.5000  4 Sb 2.54

Output
**Raw formation energy**: 0.006 eV per atom
**Space group**: I-42d
**Fermi-level density of states**: 0.90 states/eV/cell

---

(8)
Entry from Alexandria: a geometry-optimized BiIrIO2 structure (PBE-GGA).

Unit cell a=4.2132 b=4.2132 c=5.3145 alpha=90.00 beta=90.00 gamma=90.00
Last column: nearest neighbours and their distance in Å.
Fractional coordinates of all 5 atoms:
Bi 0.0000 0.0000 0.0000  4 I 2.98
Ir 0.5000 0.5000 0.5000  4 O 2.11
I 0.5000 0.5000 0.0000  2 Ir 2.66
O 0.0000 0.5000 0.5000  2 Ir 2.11
O 0.5000 0.0000 0.5000  2 Ir 2.11

Output
**Raw formation energy**: 0.319 eV per atom
**Space group**: P4/mmm
**ΔE to the lowest computed polymorph**: 0.0 meV/atom
**Fermi-level density of states**: 5.80 states/eV/cell

---

(9)
Entry from Alexandria: a geometry-optimized CaInRe3 structure (PBE-GGA).

Unit cell a=4.6740 b=4.6740 c=4.6740 alpha=90.00 beta=90.00 gamma=90.00
Last column: nearest neighbours and their distance in Å.
Fractional coordinates of all 5 atoms:
Ca 0.0000 0.0000 0.0000  6 Re 2.34
In 0.5000 0.5000 0.5000  12 Re 3.30
Re 0.0000 0.0000 0.5000  2 Ca 2.34
Re 0.0000 0.5000 0.0000  2 Ca 2.34
Re 0.5000 0.0000 0.0000  2 Ca 2.34

Output
**Space group**: Pm-3m
**Energy of formation**: 3.036 eV per atom
**ΔE to the lowest computed polymorph**: 569.3 meV/atom
**Fermi-level density of states**: 5.56 states/eV/cell